[1]
Below is a relaxed TaTcGe crystal, with properties calculated at the PBE level.

Its relative energy among the computed polymorphs is 0.88 eV/f.u. For the total DFT energy (no corrections), the calculation gives -8.5281 eV/atom. The calculation puts the magnetic moment at 0.000 μB/f.u.

It has space group F-43m (No. 216), with a = 6.1179 Å, b = 6.1179 Å, c = 6.1179 Å, α = 90.00°, β = 90.00° and γ = 90.00°. Symmetry generates all atoms from Ta at (0.0000, 0.0000, 0.0000), Tc at (0.2500, 0.2500, 0.2500) and Ge at (0.2500, 0.2500, 0.7500).


[2]
Below is a relaxed PrGdCo2Sn2 crystal, with properties calculated at the PBE level.

For the total DFT energy (no corrections), the calculation gives -5.7324 eV/atom. The calculation puts the magnetic moment at 1.240 μB/f.u.

It has space group P4mm (No. 99), with a = 4.4560 Å, b = 4.4560 Å, c = 6.8492 Å, α = 90.00°, β = 90.00° and γ = 90.00°. Symmetry generates all atoms from Pr at (0.0000, 0.0000, 0.0000), Gd at (0.5000, 0.5000, 0.5967), Co at (0.0000, 0.5000, 0.3097), Sn at (0.0000, 0.0000, 0.5103) and Sn at (0.5000, 0.5000, 0.1052).


[3]
Below is a relaxed Ta4InSnN2 crystal, with properties calculated at the PBE level.

For the total DFT energy (no corrections), the calculation gives -9.2488 eV/atom. The calculation puts the magnetic moment at 0.007 μB/f.u.

It has space group P-6m2 (No. 187), with a = 3.2168 Å, b = 3.2168 Å, c = 13.9007 Å, α = 90.00°, β = 90.00° and γ = 120.00°. Symmetry generates all atoms from Ta at (0.0000, 0.0000, 0.1671), Ta at (0.3333, 0.6667, 0.3295), In at (0.0000, 0.0000, 0.5000), Sn at (0.3333, 0.6667, 0.0000) and N at (0.6667, 0.3333, 0.2477).


[4]
Below is a relaxed NdNpBr6 crystal, with properties calculated at the PBE level.

For the total DFT energy (no corrections), the calculation gives -5.0677 eV/atom. The calculation puts the magnetic moment at 4.002 μB/f.u.

It has space group Amm2 (No. 38), with a = 9.2523 Å, b = 4.0876 Å, c = 13.6006 Å, α = 90.00°, β = 90.00° and γ = 90.00°. Symmetry generates all atoms from Nd at (0.0000, 0.0000, 0.0000), Np at (0.5000, 0.0000, 0.4799), Br at (0.0000, 0.0000, 0.6523), Br at (0.1838, 0.0000, 0.3916), Br at (0.3185, 0.0000, 0.0884) and Br at (0.5000, 0.0000, 0.8292).


[5]
Below is a relaxed Ni124Te crystal, with properties calculated at the PBE level.

For the total DFT energy (no corrections), the calculation gives -5.5450 eV/atom. The calculation puts the magnetic moment at 74.576 μB/f.u.

It has space group Fm-3m (No. 225), with a = 17.5416 Å, b = 17.5416 Å, c = 17.5416 Å, α = 90.00°, β = 90.00° and γ = 90.00°. Symmetry generates all atoms from Ni at (0.0000, 0.0000, 0.1000), Ni at (0.0000, 0.0000, 0.2990), Ni at (0.0000, 0.1001, 0.2000), Ni at (0.0000, 0.1029, 0.3971), Ni at (0.0000, 0.2008, 0.2992), Ni at (0.1000, 0.1000, 0.1000), Ni at (0.1005, 0.1005, 0.2993), Ni at (0.1002, 0.1999, 0.1999), Ni at (0.2001, 0.2001, 0.2999) and Te at (0.0000, 0.0000, 0.5000).


[6]
Below is a relaxed CsRbNi crystal, with properties calculated at the PBE level.

Its relative energy among the computed polymorphs is 0.00 eV/f.u. For the total DFT energy (no corrections), the calculation gives -1.5998 eV/atom. The calculation puts the magnetic moment at 0.019 μB/f.u.

It has space group F-43m (No. 216), with a = 8.3920 Å, b = 8.3920 Å, c = 8.3920 Å, α = 90.00°, β = 90.00° and γ = 90.00°. Symmetry generates all atoms from Cs at (0.0000, 0.0000, 0.0000), Rb at (0.2500, 0.2500, 0.2500) and Ni at (0.0000, 0.0000, 0.5000).